# RbS5N

A geometry-optimized RbS5N structure (GGA-PBE, Alexandria via LeMat-Bulk).

Cell: 9.963 7.550 5.790 Å, 90.00 94.32 90.00°
Space group Cm (No. 8)
One atom of each set of equivalent atoms:
Rb (0.000, 0.000, 0.000) x2
S (0.194, 0.315, 0.360) x4
S (0.263, 0.217, 0.687) x4
S (0.391, 0.000, 0.656) x2
N (0.278, 0.500, 0.294) x2

Output
- Electronic total energy: -4.38 eV/atom
- Magnetic moment: 0.000 μB per formula unit
- DOS at the Fermi energy: 0.00 states/eV per cell

=====

# ReSi2Ru

A geometry-optimized ReSi2Ru structure (GGA-PBE, Alexandria via LeMat-Bulk).

Cell: 6.377 6.377 5.972 Å, 90.00 90.00 90.00°
Space group I-42d (No. 122)
One atom of each set of equivalent atoms:
Re (0.000, 0.000, 0.000) x4
Si (0.240, 0.750, 0.625) x8
Ru (0.000, 0.000, 0.500) x4

Output
- Electronic total energy: -7.71 eV/atom
- Magnetic moment: 0.000 μB per formula unit
- DOS at the Fermi energy: 21.09 states/eV per cell

=====

# CaPHOs

A geometry-optimized CaPHOs structure (GGA-PBE, Alexandria via LeMat-Bulk).

Cell: 4.016 4.016 7.689 Å, 90.00 90.00 90.00°
Space group P4/nmm (No. 129, origin choice 2)
One atom of each set of equivalent atoms:
Ca (0.250, 0.250, 0.149) x2
P (0.250, 0.250, 0.660) x2
H (0.250, 0.750, 0.000) x2
Os (0.250, 0.750, 0.500) x2

Output
- Electronic total energy: -6.16 eV/atom
- Magnetic moment: 0.000 μB per formula unit
- DOS at the Fermi energy: 2.58 states/eV per cell

=====

Copy entry 1 word for word.
# RbS5N

A geometry-optimized RbS5N structure (GGA-PBE, Alexandria via LeMat-Bulk).

Cell: 9.963 7.550 5.790 Å, 90.00 94.32 90.00°
Space group Cm (No. 8)
One atom of each set of equivalent atoms:
Rb (0.000, 0.000, 0.000) x2
S (0.194, 0.315, 0.360) x4
S (0.263, 0.217, 0.687) x4
S (0.391, 0.000, 0.656) x2
N (0.278, 0.500, 0.294) x2

Output
- Electronic total energy: -4.38 eV/atom
- Magnetic moment: 0.000 μB per formula unit
- DOS at the Fermi energy: 0.00 states/eV per cell

=====

Look up the electronic total energy of the second one. -7.71 eV/atom